# CaSiAs2Se, relaxed, DFT PBE-GGA
# excess energy over the best structure of this formula in the dataset	1.024	eV/atom
# electronic total energy	-15.8	eV per formula unit
# spin magnetization	0.000	μB per cell
# E_form (uncorrected)	0.887	eV/atom
# D(E_F)	0.956	states/eV per atom
data_CaSiAs2Se
_chemical_formula_sum 'Ca1 Si1 As2 Se1'
_symmetry_space_group_name_H-M 'P 4/m m m'
_symmetry_Int_Tables_number 123
_symmetry_space_group_name_Hall '-P 4 2'
_cell_length_a 5.330
_cell_length_b 5.330
_cell_length_c 5.312
_cell_angle_alpha 90.00
_cell_angle_beta 90.00
_cell_angle_gamma 90.00
loop_
_atom_site_label
_atom_site_fract_x
_atom_site_fract_y
_atom_site_fract_z
_atom_site_occupancy
Ca1 0.000 0.000 0.000 1
Si1 0.500 0.500 0.500 1
As1 0.000 0.500 0.000 1
Se1 0.000 0.000 0.500 1

# Ca2SnAsSe, relaxed, DFT PBE-GGA
# electronic total energy	-17.9	eV per formula unit
# spin magnetization	0.000	μB per cell
# E_form (uncorrected)	-0.349	eV/atom
# D(E_F)	0.755	states/eV per atom
data_Ca2SnAsSe
_chemical_formula_sum 'Ca2 Sn1 As1 Se1'
_symmetry_space_group_name_H-M 'P 4/m m m'
_symmetry_Int_Tables_number 123
_symmetry_space_group_name_Hall '-P 4 2'
_cell_length_a 5.485
_cell_length_b 5.485
_cell_length_c 5.321
_cell_angle_alpha 90.00
_cell_angle_beta 90.00
_cell_angle_gamma 90.00
loop_
_atom_site_label
_atom_site_fract_x
_atom_site_fract_y
_atom_site_fract_z
_atom_site_occupancy
Ca1 0.000 0.500 0.000 1
Sn1 0.000 0.000 0.500 1
As1 0.500 0.500 0.000 1
Se1 0.500 0.500 0.500 1

# SrCaAs2Se, relaxed, DFT PBE-GGA
# excess energy over the best structure of this formula in the dataset	0.000	eV/atom
# electronic total energy	-18.3	eV per formula unit
# spin magnetization	0.000	μB per cell
# E_form (uncorrected)	-0.359	eV/atom
# D(E_F)	1.170	states/eV per atom
data_SrCaAs2Se
_chemical_formula_sum 'Sr1 Ca1 As2 Se1'
_symmetry_space_group_name_H-M 'P 4/m m m'
_symmetry_Int_Tables_number 123
_symmetry_space_group_name_Hall '-P 4 2'
_cell_length_a 5.361
_cell_length_b 5.361
_cell_length_c 5.441
_cell_angle_alpha 90.00
_cell_angle_beta 90.00
_cell_angle_gamma 90.00
loop_
_atom_site_label
_atom_site_fract_x
_atom_site_fract_y
_atom_site_fract_z
_atom_site_occupancy
Sr1 0.000 0.000 0.000 1
Ca1 0.500 0.500 0.500 1
As1 0.000 0.500 0.500 1
Se1 0.500 0.500 0.000 1

# SrCaAs2Se, relaxed, DFT PBE-GGA
# excess energy over the best structure of this formula in the dataset	0.367	eV/atom
# electronic total energy	-16.4	eV per formula unit
# spin magnetization	0.000	μB per cell
# E_form (uncorrected)	0.009	eV/atom
# D(E_F)	1.056	states/eV per atom
data_SrCaAs2Se
_chemical_formula_sum 'Sr1 Ca1 As2 Se1'
_symmetry_space_group_name_H-M 'P 4/m m m'
_symmetry_Int_Tables_number 123
_symmetry_space_group_name_Hall '-P 4 2'
_cell_length_a 5.541
_cell_length_b 5.541
_cell_length_c 5.646
_cell_angle_alpha 90.00
_cell_angle_beta 90.00
_cell_angle_gamma 90.00
loop_
_atom_site_label
_atom_site_fract_x
_atom_site_fract_y
_atom_site_fract_z
_atom_site_occupancy
Sr1 0.000 0.000 0.000 1
Ca1 0.500 0.500 0.500 1
As1 0.000 0.500 0.000 1
Se1 0.000 0.000 0.500 1

# CaTbAsSe, relaxed, DFT PBE-GGA
# electronic total energy	-21.6	eV per formula unit
# spin magnetization	0.000	μB per cell
# E_form (uncorrected)	-1.707	eV/atom
# D(E_F)	0.000	states/eV per atom
data_CaTbAsSe
_chemical_formula_sum 'Ca3 Tb3 As3 Se3'
_symmetry_space_group_name_H-M 'R 3 m'
_symmetry_Int_Tables_number 160
_symmetry_space_group_name_Hall 'R 3 -2"'
_cell_length_a 4.1845
_cell_length_b 4.1845
_cell_length_c 20.6649
_cell_angle_alpha 90.00
_cell_angle_beta 90.00
_cell_angle_gamma 120.00
loop_
_atom_site_label
_atom_site_fract_x
_atom_site_fract_y
_atom_site_fract_z
_atom_site_occupancy
Ca1 0.0000 0.0000 0.0000 1
Tb1 0.0000 0.0000 0.4922 1
As1 0.0000 0.0000 0.7507 1
Se1 0.0000 0.0000 0.2448 1

# CaTcAs2Se, relaxed, DFT PBE-GGA
# excess energy over the best structure of this formula in the dataset	1.778	eV/atom
# electronic total energy	-17.5	eV per formula unit
# spin magnetization	2.989	μB per cell
# E_form (uncorrected)	1.521	eV/atom
# D(E_F)	0.743	states/eV per atom
data_CaTcAs2Se
_chemical_formula_sum 'Ca1 Tc1 As2 Se1'
_symmetry_space_group_name_H-M 'P 4/m m m'
_symmetry_Int_Tables_number 123
_symmetry_space_group_name_Hall '-P 4 2'
_cell_length_a 5.270
_cell_length_b 5.270
_cell_length_c 5.188
_cell_angle_alpha 90.00
_cell_angle_beta 90.00
_cell_angle_gamma 90.00
loop_
_atom_site_label
_atom_site_fract_x
_atom_site_fract_y
_atom_site_fract_z
_atom_site_occupancy
Ca1 0.000 0.000 0.000 1
Tc1 0.000 0.000 0.500 1
As1 0.000 0.500 0.000 1
Se1 0.500 0.500 0.500 1

# CaTcAs2Se, relaxed, DFT PBE-GGA
# excess energy over the best structure of this formula in the dataset	1.731	eV/atom
# electronic total energy	-17.8	eV per formula unit
# spin magnetization	0.166	μB per cell
# E_form (uncorrected)	1.474	eV/atom
# D(E_F)	2.039	states/eV per atom
data_CaTcAs2Se
_chemical_formula_sum 'Ca1 Tc1 As2 Se1'
_symmetry_space_group_name_H-M 'P 4/m m m'
_symmetry_Int_Tables_number 123
_symmetry_space_group_name_Hall '-P 4 2'
_cell_length_a 5.193
_cell_length_b 5.193
_cell_length_c 5.145
_cell_angle_alpha 90.00
_cell_angle_beta 90.00
_cell_angle_gamma 90.00
loop_
_atom_site_label
_atom_site_fract_x
_atom_site_fract_y
_atom_site_fract_z
_atom_site_occupancy
Ca1 0.000 0.000 0.000 1
Tc1 0.500 0.500 0.500 1
As1 0.000 0.500 0.000 1
Se1 0.000 0.000 0.500 1

# CaTcAs2Se, relaxed, DFT PBE-GGA
# excess energy over the best structure of this formula in the dataset	0.000	eV/atom
# electronic total energy	-26.4	eV per formula unit
# spin magnetization	0.000	μB per cell
# E_form (uncorrected)	-0.257	eV/atom
# D(E_F)	0.440	states/eV per atom
data_CaTcAs2Se
_chemical_formula_sum 'Ca1 Tc1 As2 Se1'
_symmetry_space_group_name_H-M 'P 4/m m m'
_symmetry_Int_Tables_number 123
_symmetry_space_group_name_Hall '-P 4 2'
_cell_length_a 4.662
_cell_length_b 4.662
_cell_length_c 5.795
_cell_angle_alpha 90.00
_cell_angle_beta 90.00
_cell_angle_gamma 90.00
loop_
_atom_site_label
_atom_site_fract_x
_atom_site_fract_y
_atom_site_fract_z
_atom_site_occupancy
Ca1 0.000 0.000 0.000 1
Tc1 0.500 0.500 0.500 1
As1 0.000 0.500 0.500 1
Se1 0.500 0.500 0.000 1

# CaTeAsSe2, relaxed, DFT PBE-GGA
# excess energy over the best structure of this formula in the dataset	0.487	eV/atom
# electronic total energy	-14.8	eV per formula unit
# spin magnetization	0.000	μB per cell
# E_form (uncorrected)	0.394	eV/atom
# D(E_F)	1.576	states/eV per atom
data_CaTeAsSe2
_chemical_formula_sum 'Ca1 Te1 As1 Se2'
_symmetry_space_group_name_H-M 'P 4/m m m'
_symmetry_Int_Tables_number 123
_symmetry_space_group_name_Hall '-P 4 2'
_cell_length_a 5.342
_cell_length_b 5.342
_cell_length_c 5.525
_cell_angle_alpha 90.00
_cell_angle_beta 90.00
_cell_angle_gamma 90.00
loop_
_atom_site_label
_atom_site_fract_x
_atom_site_fract_y
_atom_site_fract_z
_atom_site_occupancy
Ca1 0.000 0.000 0.000 1
Te1 0.500 0.500 0.500 1
As1 0.000 0.000 0.500 1
Se1 0.000 0.500 0.000 1

# CaTeAsSe2, relaxed, DFT PBE-GGA
# excess energy over the best structure of this formula in the dataset	0.000	eV/atom
# electronic total energy	-17.2	eV per formula unit
# spin magnetization	0.000	μB per cell
# E_form (uncorrected)	-0.093	eV/atom
# D(E_F)	0.837	states/eV per atom
data_CaTeAsSe2
_chemical_formula_sum 'Ca1 Te1 As1 Se2'
_symmetry_space_group_name_H-M 'P 4/m m m'
_symmetry_Int_Tables_number 123
_symmetry_space_group_name_Hall '-P 4 2'
_cell_length_a 5.403
_cell_length_b 5.403
_cell_length_c 5.231
_cell_angle_alpha 90.00
_cell_angle_beta 90.00
_cell_angle_gamma 90.00
loop_
_atom_site_label
_atom_site_fract_x
_atom_site_fract_y
_atom_site_fract_z
_atom_site_occupancy
Ca1 0.000 0.000 0.000 1
Te1 0.500 0.500 0.500 1
As1 0.500 0.500 0.000 1
Se1 0.000 0.500 0.500 1

# CaTlAs2Se, relaxed, DFT PBE-GGA
# excess energy over the best structure of this formula in the dataset	0.000	eV/atom
# electronic total energy	-15.9	eV per formula unit
# spin magnetization	0.756	μB per cell
# E_form (uncorrected)	0.259	eV/atom
# D(E_F)	1.098	states/eV per atom
data_CaTlAs2Se
_chemical_formula_sum 'Ca1 Tl1 As2 Se1'
_symmetry_space_group_name_H-M 'P 4/m m m'
_symmetry_Int_Tables_number 123
_symmetry_space_group_name_Hall '-P 4 2'
_cell_length_a 5.496
_cell_length_b 5.496
_cell_length_c 5.461
_cell_angle_alpha 90.00
_cell_angle_beta 90.00
_cell_angle_gamma 90.00
loop_
_atom_site_label
_atom_site_fract_x
_atom_site_fract_y
_atom_site_fract_z
_atom_site_occupancy
Ca1 0.000 0.000 0.000 1
Tl1 0.500 0.500 0.500 1
As1 0.000 0.500 0.000 1
Se1 0.000 0.000 0.500 1

# CaTlAsSe2, relaxed, DFT PBE-GGA
# excess energy over the best structure of this formula in the dataset	0.040	eV/atom
# electronic total energy	-15.8	eV per formula unit
# spin magnetization	0.930	μB per cell
# E_form (uncorrected)	0.028	eV/atom
# D(E_F)	0.967	states/eV per atom
data_CaTlAsSe2
_chemical_formula_sum 'Ca1 Tl1 As1 Se2'
_symmetry_space_group_name_H-M 'P 4/m m m'
_symmetry_Int_Tables_number 123
_symmetry_space_group_name_Hall '-P 4 2'
_cell_length_a 5.469
_cell_length_b 5.469
_cell_length_c 5.208
_cell_angle_alpha 90.00
_cell_angle_beta 90.00
_cell_angle_gamma 90.00
loop_
_atom_site_label
_atom_site_fract_x
_atom_site_fract_y
_atom_site_fract_z
_atom_site_occupancy
Ca1 0.000 0.000 0.000 1
Tl1 0.500 0.500 0.500 1
As1 0.500 0.500 0.000 1
Se1 0.000 0.500 0.500 1

# CaTlAs2Se, relaxed, DFT PBE-GGA
# excess energy over the best structure of this formula in the dataset	0.007	eV/atom
# electronic total energy	-15.8	eV per formula unit
# spin magnetization	0.000	μB per cell
# E_form (uncorrected)	0.266	eV/atom
# D(E_F)	1.318	states/eV per atom
data_CaTlAs2Se
_chemical_formula_sum 'Ca1 Tl1 As2 Se1'
_symmetry_space_group_name_H-M 'P 4/m m m'
_symmetry_Int_Tables_number 123
_symmetry_space_group_name_Hall '-P 4 2'
_cell_length_a 5.282
_cell_length_b 5.282
_cell_length_c 5.497
_cell_angle_alpha 90.00
_cell_angle_beta 90.00
_cell_angle_gamma 90.00
loop_
_atom_site_label
_atom_site_fract_x
_atom_site_fract_y
_atom_site_fract_z
_atom_site_occupancy
Ca1 0.000 0.000 0.000 1
Tl1 0.500 0.500 0.500 1
As1 0.000 0.500 0.500 1
Se1 0.500 0.500 0.000 1

# CaTlAsSe2, relaxed, DFT PBE-GGA
# excess energy over the best structure of this formula in the dataset	0.000	eV/atom
# electronic total energy	-16.0	eV per formula unit
# spin magnetization	0.851	μB per cell
# E_form (uncorrected)	-0.012	eV/atom
# D(E_F)	1.393	states/eV per atom
data_CaTlAsSe2
_chemical_formula_sum 'Ca1 Tl1 As1 Se2'
_symmetry_space_group_name_H-M 'P 4/m m m'
_symmetry_Int_Tables_number 123
_symmetry_space_group_name_Hall '-P 4 2'
_cell_length_a 5.522
_cell_length_b 5.522
_cell_length_c 5.527
_cell_angle_alpha 90.00
_cell_angle_beta 90.00
_cell_angle_gamma 90.00
loop_
_atom_site_label
_atom_site_fract_x
_atom_site_fract_y
_atom_site_fract_z
_atom_site_occupancy
Ca1 0.000 0.000 0.000 1
Tl1 0.500 0.500 0.500 1
As1 0.000 0.000 0.500 1
Se1 0.000 0.500 0.000 1